DFT (PBE-GGA) results for BeGe2F8 after structural relaxation.

a b c (Å): 9.8414 5.6202 5.5250
angles (deg): 90.00 98.62 90.00
With the nearest neighbours (Å) after each atom.
Space group C2/m (No. 12)
Inequivalent atoms, fractional coordinates:
Be 0.0000 0.0000 0.0000 [2 per cell]  2 F 1.62
Ge 0.1212 0.0000 0.5857 [4 per cell]  3 F 1.74-1.83
F 0.0972 0.2220 0.8192 [8 per cell]  1 Ge 1.83, 1 Be 1.94
F 0.1299 0.0000 0.2196 [4 per cell]  1 Be 1.62
F 0.2007 0.5000 0.3859 [4 per cell]  1 Ge 1.74

Values from the calculation:
Its formation energy from raw total energies is -2.273 eV/atom. As for the calculated total energy: -0.1768 Ha/atom.